Entry from Alexandria: CaClF3 at its PBEsol-relaxed geometry (meta-GGA SCAN).

Cell lengths 4.4309, 4.4309, 4.4309 Å; angles 90.00, 90.00, 90.00 degrees
Atoms (fractional coordinates):
Ca  0.0000  0.0000  0.0000
Cl  0.5000  0.5000  0.5000
F  0.0000  0.5000  0.5000
F  0.5000  0.0000  0.5000
F  0.5000  0.5000  0.0000

Calculated values
The space group is Pm-3m (221). The formation energy without anion corrections comes out at -1.415 eV/atom.


Entry from Alexandria: PtW4Se at its PBEsol-relaxed geometry (meta-GGA SCAN).

Cell lengths 5.2373, 5.2373, 5.2373 Å; angles 60.00, 60.00, 60.00 degrees
Atoms (fractional coordinates):
Pt  0.0000  0.0000  0.0000
W  0.3749  0.3749  0.3749
W  0.3749  0.3749  0.8753
W  0.3749  0.8753  0.3749
W  0.8753  0.3749  0.3749
Se  0.7500  0.7500  0.7500

Calculated values
The space group is F-43m (216). The formation energy without anion corrections comes out at 0.828 eV/atom.


Entry from Alexandria: Ca3InPt at its PBEsol-relaxed geometry (meta-GGA SCAN).

Cell lengths 5.6463, 5.6463, 5.6463 Å; angles 90.00, 90.00, 90.00 degrees
Atoms (fractional coordinates):
Ca  0.0000  0.0000  0.5000
Ca  0.0000  0.5000  0.0000
Ca  0.5000  0.0000  0.0000
In  0.0000  0.0000  0.0000
Pt  0.5000  0.5000  0.5000

Calculated values
For the formation energy, the calculation gives 1.48 eV per formula unit. The space group is Pm-3m (221).


Entry from Alexandria: ScTcAg2 at its PBEsol-relaxed geometry (meta-GGA SCAN).

Cell lengths 9.5144, 9.5144, 9.5144 Å; angles 17.35, 17.35, 17.35 degrees
Atoms (fractional coordinates):
Sc  0.0000  0.0000  0.0000
Tc  0.7460  0.7460  0.7460
Ag  0.2458  0.2458  0.2458
Ag  0.4953  0.4953  0.4953

Calculated values
For the formation energy, the calculation gives 1.02 eV per formula unit. The space group is R3m (160).


Short version: Fermi-level density of states = 0.900; 3.845; 3.892; 3.538 states/eV per cell, in the order given.